1.
The following is a PBE calculation of YPb2W after structural relaxation, from Alexandria via LeMat-Bulk.

formation energy from the elements: 556 meV per atom
symmetry: Cmmm (65)
ρ: 11.69 g/cm³
energy relative to the lowest polymorph listed for this composition: 3.21 kcal/mol of atoms
energy: -6.15 eV/atom

Lattice parameters (Å, degrees): 3.2877 3.2877 9.8267 90.00 90.00 113.25
With the nearest neighbours (Å) after each atom.
Fractional positions:
Y 0.0000 0.0000 0.0000  4 Pb 3.23, 6 Y 3.29-3.62
Pb 0.5000 0.5000 0.2728  2 W 2.87
Pb 0.5000 0.5000 0.7272  2 W 2.87
W 0.0000 0.0000 0.5000  4 Pb 2.87

---

2.
The following is a PBE calculation of Y2PbW after structural relaxation, from Alexandria via LeMat-Bulk.

formation energy from the elements: 384 meV per atom
symmetry: P4mm (99)
ρ: 9.33 g/cm³
energy relative to the lowest polymorph listed for this composition: 5.11 kcal/mol of atoms
energy: -7.01 eV/atom

Lattice parameters (Å, degrees): 3.7129 3.7129 7.3477 90.00 90.00 90.00
With the nearest neighbours (Å) after each atom.
Fractional positions:
Y 0.0000 0.0000 0.0000  1 Pb 3.14, 4 W 3.18
Y 0.5000 0.5000 0.3257  1 W 3.15, 4 Pb 3.19
Pb 0.0000 0.0000 0.5728  4 W 2.95, 5 Y 3.14-3.19
W 0.5000 0.5000 0.7547  4 Pb 2.95, 5 Y 3.15-3.18

---

3.
The following is a PBE calculation of YPbW2 after structural relaxation, from Alexandria via LeMat-Bulk.

formation energy from the elements: 782 meV per atom
symmetry: C2/m (12)
ρ: 13.49 g/cm³
energy relative to the lowest polymorph listed for this composition: 11.98 kcal/mol of atoms
energy: -8.24 eV/atom

Lattice parameters (Å, degrees): 5.8667 5.8667 3.0127 102.46 102.46 119.34
With the nearest neighbours (Å) after each atom.
Fractional positions:
Y 0.0000 0.0000 0.0000  4 Pb 2.96-3.20, 4 W 2.99, 2 Y 3.01
Pb 0.5000 0.5000 0.0000  4 Y 2.96-3.20, 4 W 2.99, 2 Pb 3.01
W 0.0000 0.5000 0.5000  6 W 2.96-3.20, 2 Pb 2.99, 2 Y 2.99
W 0.5000 0.0000 0.5000  6 W 2.96-3.20, 2 Pb 2.99, 2 Y 2.99